A relaxed K3V5Te4H8O24 crystal, computed with PBE+U.

Energy (eV per atom): -6.0146
V (Å³ per cell): 1192.3

Lattice parameters (Å, degrees): 7.6661 9.0579 17.1701 90.00 90.00 90.00
Last column: magnetic moment on the atom in μB.
Element x y z (fractional)
O  0.0000  0.9164  0.3263  -0.02
O  0.8150  0.4357  0.1744  -0.01
O  0.1850  0.4357  0.1744  -0.01
O  0.6850  0.5643  0.3256  -0.01
O  0.7592  0.1998  0.5856  0.00
O  0.3174  0.8469  0.2464  0.01
O  0.5000  0.0836  0.8263  -0.02
O  0.3174  0.8469  0.7536  0.01
O  0.6812  0.5428  0.0000  -0.01
O  0.8103  0.1588  0.9089  -0.11
O  0.5000  0.3295  0.0901  -0.01
O  0.2592  0.8002  0.9144  0.00
O  0.5000  0.3295  0.9099  -0.01
O  0.5000  0.3322  0.7539  -0.01
O  0.6850  0.5643  0.6744  -0.01
O  0.0000  0.9164  0.6737  -0.02
O  0.1897  0.1588  0.0911  -0.11
O  0.6826  0.8469  0.2464  0.01
O  0.5000  0.0836  0.1737  -0.02
O  0.2408  0.1998  0.4144  0.00
O  0.3103  0.8412  0.5911  -0.11
O  0.7408  0.8002  0.9144  0.00
O  0.6897  0.8412  0.4089  -0.11
O  0.0000  0.6678  0.2539  -0.01
O  0.6897  0.8412  0.5911  -0.11
O  0.0000  0.6678  0.7461  -0.01
O  0.8188  0.4572  0.5000  -0.01
O  0.8103  0.1588  0.0911  -0.11
O  0.3103  0.8412  0.4089  -0.11
O  0.3150  0.5643  0.6744  -0.01
O  0.1850  0.4357  0.8256  -0.01
O  0.8174  0.1531  0.2536  0.01
O  0.2592  0.8002  0.0856  0.00
O  0.3188  0.5428  0.0000  -0.01
O  0.1897  0.1588  0.9089  -0.11
O  0.7592  0.1998  0.4144  0.00
O  0.8174  0.1531  0.7464  0.01
O  0.6826  0.8469  0.7536  0.01
O  0.2408  0.1998  0.5856  0.00
O  0.3150  0.5643  0.3256  -0.01
O  0.1826  0.1531  0.7464  0.01
O  0.0000  0.6705  0.4099  -0.01
O  0.5000  0.3322  0.2461  -0.01
O  0.0000  0.6705  0.5901  -0.01
O  0.1826  0.1531  0.2536  0.01
O  0.7408  0.8002  0.0856  0.00
O  0.1812  0.4572  0.5000  -0.01
O  0.8150  0.4357  0.8256  -0.01
H  0.2237  0.3013  0.5661  0.00
H  0.2799  0.7977  0.8580  0.00
H  0.2763  0.6987  0.0661  0.00
H  0.7201  0.7977  0.8580  0.00
H  0.2201  0.2023  0.6420  0.00
H  0.7763  0.3013  0.5661  0.00
H  0.2237  0.3013  0.4339  0.00
H  0.7763  0.3013  0.4339  0.00
H  0.2201  0.2023  0.3580  0.00
H  0.2799  0.7977  0.1420  0.00
H  0.7237  0.6987  0.9339  0.00
H  0.7201  0.7977  0.1420  0.00
H  0.7799  0.2023  0.6420  0.00
H  0.7237  0.6987  0.0661  0.00
H  0.2763  0.6987  0.9339  0.00
H  0.7799  0.2023  0.3580  0.00
V  0.1942  0.7560  0.3408  1.06
V  0.8058  0.7560  0.6592  1.06
V  0.1942  0.7560  0.6592  1.06
V  0.3058  0.2440  0.1592  1.06
V  0.8058  0.7560  0.3408  1.06
V  0.5000  0.4383  0.0000  0.06
V  0.6942  0.2440  0.1592  1.06
V  0.6942  0.2440  0.8408  1.06
V  0.3058  0.2440  0.8408  1.06
V  0.0000  0.5617  0.5000  0.06
Te  0.5000  0.9828  0.2732  0.01
Te  0.0000  0.0172  0.2268  0.01
Te  0.5000  0.9828  0.7268  0.01
Te  0.0000  0.4575  0.7506  0.02
Te  0.0000  0.0172  0.7732  0.01
Te  0.5000  0.5425  0.7494  0.02
Te  0.0000  0.4575  0.2494  0.02
Te  0.5000  0.5425  0.2506  0.02
K  0.0000  0.0255  0.5000  0.00
K  0.5000  0.0549  0.5000  0.00
K  0.0000  0.9451  0.0000  0.00
K  0.5000  0.9745  0.0000  0.00
K  0.0000  0.3832  0.0000  0.00
K  0.5000  0.6168  0.5000  0.00